No. 1
Density functional theory data (GGA-PBEsol) for a relaxed structure of Zr3Cd.

Values from the calculation:
As for the raw total energy: -7.13 eV/atom. The energy relative to the elements comes out at -10.6 meV per atom. For the calculated volume, the calculation gives 21.7 Å³ per atom. For the density of states at the Fermi level, the calculation gives 2.7 states/eV/f.u.

```
data_Zr3Cd
_space_group_name_H-M_alt 'P -6 m 2'
_space_group_IT_number 187
_space_group_name_Hall 'P -6 2'
_cell_length_a 3.1268
_cell_length_b 3.1268
_cell_length_c 10.2514
_cell_angle_alpha 90.00
_cell_angle_beta 90.00
_cell_angle_gamma 120.00
loop_
_atom_site_label
_atom_site_fract_x
_atom_site_fract_y
_atom_site_fract_z
Zr1 0.0000 0.0000 0.0000
Zr2 0.6667 0.3333 0.2485
Cd1 0.0000 0.0000 0.5000
```

***

No. 2
Density functional theory data (GGA-PBEsol) for a relaxed structure of ZrCd2.

Values from the calculation:
As for the raw total energy: -3.87 eV/atom. The energy relative to the elements comes out at -42.8 meV per atom. For the calculated volume, the calculation gives 21.0 Å³ per atom. For the density of states at the Fermi level, the calculation gives 2.8 states/eV/f.u.

```
data_ZrCd2
_space_group_name_H-M_alt 'I 41/a m d'
_space_group_IT_number 141
_cell_length_a 2.967
_cell_length_b 2.967
_cell_length_c 28.683
_cell_angle_alpha 90.00
_cell_angle_beta 90.00
_cell_angle_gamma 90.00
loop_
_space_group_symop_operation_xyz
'x,y,z'
'-x,-y,-z'
'-y+1/4,x+3/4,z+1/4'
'y+1/4,-x+3/4,-z+1/4'
'-x+1/2,-y,z+1/2'
'x+1/2,y,-z+1/2'
'y+1/4,-x+1/4,z+3/4'
'-y+1/4,x+1/4,-z+3/4'
'x,-y,-z'
'-x,y,z'
'-y+1/4,-x+1/4,-z+3/4'
'y+1/4,x+1/4,z+3/4'
'-x+1/2,y,-z+1/2'
'x+1/2,-y,z+1/2'
'y+1/4,x+3/4,-z+1/4'
'-y+1/4,-x+3/4,z+1/4'
'x+1/2,y+1/2,z+1/2'
'-x+1/2,-y+1/2,-z+1/2'
'-y+3/4,x+1/4,z+3/4'
'y+3/4,-x+1/4,-z+3/4'
'-x,-y+1/2,z'
'x,y+1/2,-z'
'y+3/4,-x+3/4,z+1/4'
'-y+3/4,x+3/4,-z+1/4'
'x+1/2,-y+1/2,-z+1/2'
'-x+1/2,y+1/2,z+1/2'
'-y+3/4,-x+3/4,-z+1/4'
'y+3/4,x+3/4,z+1/4'
'-x,y+1/2,-z'
'x,-y+1/2,z'
'y+3/4,x+1/4,-z+3/4'
'-y+3/4,-x+1/4,z+3/4'
loop_
_atom_site_label
_atom_site_fract_x
_atom_site_fract_y
_atom_site_fract_z
Zr1 0.000 0.250 0.375
Cd1 0.000 0.250 0.795
```